ScCoSnPt: relaxed, PBE.

Unit cell a=6.443 b=6.443 c=6.443 alpha=90.00 beta=90.00 gamma=90.00
Space group F-43m (No. 216)
Unique sites:
Sc 0.000 0.000 0.000 x4
Co 0.250 0.250 0.750 x4
Sn 0.000 0.000 0.500 x4
Pt 0.250 0.250 0.250 x4

Calculated values
The calculation puts the total energy at -6.491 eV per atom. Its crystal system is cubic.

NbGaCuPd: relaxed, PBE.

Unit cell a=6.258 b=6.258 c=6.258 alpha=90.00 beta=90.00 gamma=90.00
Space group F-43m (No. 216)
Unique sites:
Nb 0.000 0.000 0.000 x4
Ga 0.250 0.250 0.250 x4
Cu 0.000 0.000 0.500 x4
Pd 0.250 0.250 0.750 x4

Calculated values
The calculation puts the total energy at -5.686 eV per atom. Its crystal system is cubic.

Tm2Tc2O5: relaxed, PBE.

Unit cell a=3.943 b=3.943 c=6.697 alpha=90.00 beta=90.00 gamma=90.00
Space group P4/mmm (No. 123)
Unique sites:
Tm 0.000 0.000 0.000 x1
Tm 0.000 0.000 0.500 x1
Tc 0.500 0.500 0.173 x2
O 0.000 0.500 0.233 x4
O 0.500 0.500 0.500 x1

Calculated values
The calculation puts the total energy at -7.953 eV per atom. Its crystal system is tetragonal.